[1]
Computed, not measured: an optimized crystal structure of La6Ir2SI3 at the GGA-PBE level of DFT.

Density in g/cm3: 6.9
Volume in Å³ per cell: 390.8
ΔE_f (raw) in eV per atom: -1.255
Total magnetic moment in μB/cell: 0.0
Raw total energy in eV/atom: -5.9273

Cell and atoms, written as POSCAR:
```
La6Ir2SI3
1.0
3.7248 -6.4585 0.0000
3.7248 6.4585 0.0000
-2.4704 0.0000 8.1228
La Ir S I
6 2 1 3
direct
0.0890 0.4359 0.8117
0.2151 0.2151 0.1882
0.4359 0.0890 0.8117
0.5641 0.9110 0.1883
0.7849 0.7849 0.8118
0.9110 0.5641 0.1883
0.1671 0.8329 0.0000
0.8329 0.1671 0.0000
0.5000 0.5000 0.0000
0.0000 0.0000 0.5000
0.3358 0.6642 0.5000
0.6642 0.3358 0.5000
```

[2]
Computed, not measured: an optimized crystal structure of Th4IrPtSe2 at the GGA-PBE level of DFT.

Density in g/cm3: 11.2
Volume in Å³ per cell: 218.3
ΔE_f (raw) in eV per atom: -1.338
Total magnetic moment in μB/cell: 0.0
Raw total energy in eV/atom: -7.7815

Cell and atoms, written as POSCAR:
```
Th4IrPtSe2
1.0
7.1661 0.0000 0.0000
0.0000 4.1639 0.0000
-2.3710 0.0000 7.3148
Th Ir Pt Se
4 1 1 2
direct
0.2369 0.0000 0.2230
0.2519 0.5000 0.7756
0.7481 0.5000 0.2244
0.7631 0.0000 0.7770
0.0000 0.5000 0.0000
0.5000 0.0000 0.0000
0.0000 0.0000 0.5000
0.5000 0.5000 0.5000
```

[3]
Computed, not measured: an optimized crystal structure of Mg2SnPt at the GGA-PBE level of DFT.

Calculated formation energy in eV per atom: -0.513
Density in g/cm3: 7.6
Volume in Å³ per cell: 78.7
Total magnetic moment in μB/cell: 0.0
Raw total energy in eV/atom: -3.8208

Cell and atoms, written as POSCAR:
```
Mg2SnPt
1.0
3.2535 0.0000 0.0000
0.0000 3.2535 0.0000
0.0000 0.0000 7.4328
Mg Sn Pt
2 1 1
direct
0.0000 0.0000 0.2024
0.0000 0.0000 0.7976
0.5000 0.5000 0.5000
0.5000 0.5000 0.0000
```

[4]
Computed, not measured: an optimized crystal structure of Sm6DyTl3 at the GGA-PBE level of DFT.

Calculated formation energy in eV per atom: -0.093
Density in g/cm3: 8.5
Volume in Å³ per cell: 654.2
Total magnetic moment in μB/cell: 0.0
Raw total energy in eV/atom: -4.0944

Cell and atoms, written as POSCAR:
```
Sm6DyTl3
1.0
5.3069 -7.8912 0.0000
5.3069 7.8912 0.0000
0.0000 0.0000 7.8112
Sm Dy Tl
12 2 6
direct
0.0445 0.9555 0.5000
0.0819 0.4561 0.0022
0.2303 0.2981 0.3145
0.2981 0.2303 0.8145
0.3009 0.6991 0.3539
0.4561 0.0819 0.5022
0.5439 0.9181 0.0022
0.6991 0.3009 0.8539
0.7019 0.7697 0.3145
0.7697 0.7019 0.8145
0.9181 0.5439 0.5022
0.9555 0.0445 0.0000
0.1964 0.8036 0.7935
0.8036 0.1964 0.2935
0.0141 0.2850 0.6422
0.2850 0.0141 0.1422
0.4492 0.5508 0.0337
0.5508 0.4492 0.5337
0.7150 0.9859 0.6422
0.9859 0.7150 0.1422
```